Material: Sc4Pb
Method: DFT, PBEsol
State: optimized geometry

E above lowest polymorph, kJ/mol of formula units: 0
Formation enthalpy at 0 K, meV per atom: -220

abc: 7.244 7.244 4.332
angles: 90.00 90.00 90.00
Space group I4/m (No. 87)
Asymmetric unit:
Sc  0.110  0.306  0.000 x8
Pb  0.000  0.000  0.500 x2

=====

Material: ScPb2
Method: DFT, PBEsol
State: optimized geometry

Formation enthalpy at 0 K, meV per atom: -167

abc: 3.768 3.768 10.690
angles: 90.00 90.00 90.00
Space group I4/mmm (No. 139)
Asymmetric unit:
Sc  0.000  0.000  0.000 x2
Pb  0.000  0.000  0.342 x4

=====

Material: Sc2Pb
Method: DFT, PBEsol
State: optimized geometry

Formation enthalpy at 0 K, meV per atom: -242

abc: 6.941 6.941 6.089
angles: 90.00 90.00 90.00
Space group I4/mcm (No. 140)
Asymmetric unit:
Sc  0.159  0.341  0.000 x8
Pb  0.000  0.000  0.250 x4

=====

Material: ScPb2
Method: DFT, PBEsol
State: optimized geometry

Formation enthalpy at 0 K, meV per atom: -215

abc: 7.098 7.098 6.458
angles: 90.00 90.00 90.00
Space group I4/mcm (No. 140)
Asymmetric unit:
Sc  0.000  0.000  0.250 x4
Pb  0.195  0.305  0.000 x8

=====

Let's list size of the total moment in order: 0.18; 0.00; 4.92; 0.00 μB/cell.